--- i ---
! GaTcNi3 PBE-GGA relaxed; values from VASP
! - theoretical density (kg/m³) = 7261
! - space-group type = Pm-3m (221)
! - Fermi-level density of states (states/eV per cell) = 7.18
! - total moment (μB per formula unit) = 4.34
&SYSTEM
  ibrav = 0, nat = 5, ntyp = 3
/
ATOMIC_SPECIES
Ga 69.72 Ga.upf
Tc 98.00 Tc.upf
Ni 58.69 Ni.upf
ATOMIC_POSITIONS crystal
Ga 0.000 0.000 0.000
Tc 0.500 0.500 0.500
Ni 0.000 0.000 0.500
Ni 0.000 0.500 0.000
Ni 0.500 0.000 0.000
CELL_PARAMETERS angstrom
4.284 0.000 0.000
0.000 4.284 0.000
0.000 0.000 4.284

--- ii ---
! GaTcNi3 PBE-GGA relaxed; values from VASP
! - theoretical density (kg/m³) = 6304
! - space-group type = Pm-3m (221)
! - Fermi-level density of states (states/eV per cell) = 6.04
! - total moment (μB per formula unit) = 0.00
&SYSTEM
  ibrav = 0, nat = 5, ntyp = 3
/
ATOMIC_SPECIES
Ga 69.72 Ga.upf
Tc 98.00 Tc.upf
Ni 58.69 Ni.upf
ATOMIC_POSITIONS crystal
Ga 0.000 0.000 0.000
Tc 0.500 0.500 0.500
Ni 0.000 0.500 0.500
Ni 0.500 0.000 0.500
Ni 0.500 0.500 0.000
CELL_PARAMETERS angstrom
4.491 0.000 0.000
0.000 4.491 0.000
0.000 0.000 4.491

Which structure is the least stable? The one labeled ii.

--- i ---
! TiGaTcNi PBE-GGA relaxed; values from VASP
! - theoretical density (kg/m³) = 8298
! - space-group type = Pmmm (47)
! - Fermi-level density of states (states/eV per cell) = 1.20
! - total moment (μB per formula unit) = 0.00
&SYSTEM
  ibrav = 0, nat = 4, ntyp = 4
/
ATOMIC_SPECIES
Ti 47.87 Ti.upf
Ga 69.72 Ga.upf
Tc 98.00 Tc.upf
Ni 58.69 Ni.upf
ATOMIC_POSITIONS crystal
Ti 0.000 0.000 0.000
Ga 0.000 0.500 0.500
Tc 0.500 0.500 0.000
Ni 0.500 0.000 0.500
CELL_PARAMETERS angstrom
3.242 0.000 0.000
0.000 4.028 0.000
0.000 0.000 4.204

--- ii ---
! TiGaTcNi PBE-GGA relaxed; values from VASP
! - theoretical density (kg/m³) = 8248
! - space-group type = F-43m (216)
! - Fermi-level density of states (states/eV per cell) = 3.34
! - total moment (μB per formula unit) = 0.00
&SYSTEM
  ibrav = 0, nat = 16, ntyp = 4
/
ATOMIC_SPECIES
Ti 47.87 Ti.upf
Ga 69.72 Ga.upf
Tc 98.00 Tc.upf
Ni 58.69 Ni.upf
ATOMIC_POSITIONS crystal
Ti 0.000 0.000 0.000
Ti 0.000 0.500 0.500
Ti 0.500 0.000 0.500
Ti 0.500 0.500 0.000
Ga 0.000 0.000 0.500
Ga 0.000 0.500 0.000
Ga 0.500 0.000 0.000
Ga 0.500 0.500 0.500
Tc 0.250 0.250 0.250
Tc 0.250 0.750 0.750
Tc 0.750 0.250 0.750
Tc 0.750 0.750 0.250
Ni 0.250 0.250 0.750
Ni 0.250 0.750 0.250
Ni 0.750 0.250 0.250
Ni 0.750 0.750 0.750
CELL_PARAMETERS angstrom
6.045 0.000 0.000
0.000 6.045 0.000
0.000 0.000 6.045

Which structure is the least stable? The one labeled ii.